(1)
A relaxed CrCu6Pd12 crystal. Source: the Alexandria database, functional PBE.

Cell and atoms, written as CIF:
```
data_CrCu6Pd12
_symmetry_space_group_name_H-M 'R -3'
_symmetry_Int_Tables_number 148
_symmetry_space_group_name_Hall '-R 3'
_cell_length_a 9.1916
_cell_length_b 9.1916
_cell_length_c 11.4161
_cell_angle_alpha 90.00
_cell_angle_beta 90.00
_cell_angle_gamma 120.00
loop_
_atom_site_label
_atom_site_type_symbol
_atom_site_fract_x
_atom_site_fract_y
_atom_site_fract_z
Cr1 Cr 0.0000 0.0000 0.0000
Cu1 Cu 0.0265 0.5899 0.7031
Pd1 Pd 0.0294 0.8436 0.8198
Pd2 Pd 0.0599 0.2133 0.4104
```

## Properties
- Volume: 14.65 Å³/atom
- Formation enthalpy at 0 K: 0.00 eV per atom
- Energy above the most stable polymorph in this dataset: 7.35 kJ/mol of atoms
- Size of the total moment: 8.7 μB per cell
- DOS at the Fermi energy: 20.0 states/eV/f.u.

---

(2)
A relaxed CrCu6Pd12 crystal. Source: the Alexandria database, functional PBE.

Cell and atoms, written as CIF:
```
data_CrCu6Pd12
_symmetry_space_group_name_H-M 'R -3'
_symmetry_Int_Tables_number 148
_symmetry_space_group_name_Hall '-R 3'
_cell_length_a 11.8882
_cell_length_b 11.8882
_cell_length_c 6.6922
_cell_angle_alpha 90.00
_cell_angle_beta 90.00
_cell_angle_gamma 120.00
loop_
_atom_site_label
_atom_site_type_symbol
_atom_site_fract_x
_atom_site_fract_y
_atom_site_fract_z
Cr1 Cr 0.0000 0.0000 0.0000
Cu1 Cu 0.0348 0.7538 0.3304
Pd1 Pd 0.0147 0.8738 0.6668
Pd2 Pd 0.0678 0.5066 0.6702
```

## Properties
- Volume: 14.37 Å³/atom
- Formation enthalpy at 0 K: -0.08 eV per atom
- Energy above the most stable polymorph in this dataset: 0.00 kJ/mol of atoms
- Size of the total moment: 8.0 μB per cell
- DOS at the Fermi energy: 21.8 states/eV/f.u.

---

(3)
A relaxed CrCu2Pd2 crystal. Source: the Alexandria database, functional PBE.

Cell and atoms, written as CIF:
```
data_CrCu2Pd2
_symmetry_space_group_name_H-M 'P 4/m b m'
_symmetry_Int_Tables_number 127
_symmetry_space_group_name_Hall '-P 4 2ab'
_cell_length_a 7.0566
_cell_length_b 7.0566
_cell_length_c 2.8056
_cell_angle_alpha 90.00
_cell_angle_beta 90.00
_cell_angle_gamma 90.00
loop_
_atom_site_label
_atom_site_type_symbol
_atom_site_fract_x
_atom_site_fract_y
_atom_site_fract_z
Cr1 Cr 0.0000 0.0000 0.0000
Cu1 Cu 0.1219 0.3781 0.0000
Pd1 Pd 0.1767 0.6767 0.5000
```

## Properties
- Volume: 13.97 Å³/atom
- Formation enthalpy at 0 K: 0.33 eV per atom
- Energy above the most stable polymorph in this dataset: 32.85 kJ/mol of atoms
- Size of the total moment: 0.3 μB per cell
- DOS at the Fermi energy: 5.5 states/eV/f.u.

---

(4)
A relaxed CrCu2Pd5 crystal. Source: the Alexandria database, functional PBE.

Cell and atoms, written as CIF:
```
data_CrCu2Pd5
_symmetry_space_group_name_H-M 'I 4/m c m'
_symmetry_Int_Tables_number 140
_symmetry_space_group_name_Hall '-I 4 2c'
_cell_length_a 6.5391
_cell_length_b 6.5391
_cell_length_c 11.0426
_cell_angle_alpha 90.00
_cell_angle_beta 90.00
_cell_angle_gamma 90.00
loop_
_atom_site_label
_atom_site_type_symbol
_atom_site_fract_x
_atom_site_fract_y
_atom_site_fract_z
Cr1 Cr 0.0000 0.0000 0.2500
Cu1 Cu 0.1374 0.3626 0.0000
Pd1 Pd 0.0000 0.0000 0.0000
Pd2 Pd 0.1551 0.3449 0.3427
```

## Properties
- Volume: 14.76 Å³/atom
- Formation enthalpy at 0 K: 0.02 eV per atom
- Energy above the most stable polymorph in this dataset: 9.18 kJ/mol of atoms
- Size of the total moment: 12.6 μB per cell
- DOS at the Fermi energy: 9.4 states/eV/f.u.

---

(5)
A relaxed Cr3CuPd crystal. Source: the Alexandria database, functional PBE.

Cell and atoms, written as CIF:
```
data_Cr3CuPd
_symmetry_space_group_name_H-M 'P m -3 m'
_symmetry_Int_Tables_number 221
_symmetry_space_group_name_Hall '-P 4 2 3'
_cell_length_a 4.8233
_cell_length_b 4.8233
_cell_length_c 4.8233
_cell_angle_alpha 90.00
_cell_angle_beta 90.00
_cell_angle_gamma 90.00
loop_
_atom_site_label
_atom_site_type_symbol
_atom_site_fract_x
_atom_site_fract_y
_atom_site_fract_z
Cr1 Cr 0.0000 0.0000 0.5000
Cu1 Cu 0.5000 0.5000 0.5000
Pd1 Pd 0.0000 0.0000 0.0000
```

## Properties
- Volume: 22.44 Å³/atom
- Formation enthalpy at 0 K: 1.46 eV per atom
- Energy above the most stable polymorph in this dataset: 0.00 kJ/mol of atoms
- Size of the total moment: 12.4 μB per cell
- DOS at the Fermi energy: 6.1 states/eV/f.u.

---

(6)
A relaxed CrCu2Pd9 crystal. Source: the Alexandria database, functional PBE.

Cell and atoms, written as CIF:
```
data_CrCu2Pd9
_symmetry_space_group_name_H-M 'P 4/m m m'
_symmetry_Int_Tables_number 123
_symmetry_space_group_name_Hall '-P 4 2'
_cell_length_a 3.8973
_cell_length_b 3.8973
_cell_length_c 11.6845
_cell_angle_alpha 90.00
_cell_angle_beta 90.00
_cell_angle_gamma 90.00
loop_
_atom_site_label
_atom_site_type_symbol
_atom_site_fract_x
_atom_site_fract_y
_atom_site_fract_z
Cr1 Cr 0.0000 0.0000 0.0000
Cu1 Cu 0.0000 0.0000 0.3351
Pd1 Pd 0.0000 0.5000 0.1670
Pd2 Pd 0.0000 0.5000 0.5000
Pd3 Pd 0.5000 0.5000 0.0000
Pd4 Pd 0.5000 0.5000 0.3337
```

## Properties
- Volume: 14.79 Å³/atom
- Formation enthalpy at 0 K: -0.06 eV per atom
- Size of the total moment: 3.3 μB per cell
- DOS at the Fermi energy: 17.7 states/eV/f.u.

---

(7)
A relaxed CrCu2Pd8 crystal. Source: the Alexandria database, functional PBE.

Cell and atoms, written as CIF:
```
data_CrCu2Pd8
_symmetry_space_group_name_H-M 'C m m m'
_symmetry_Int_Tables_number 65
_symmetry_space_group_name_Hall '-C 2 2'
_cell_length_a 7.8916
_cell_length_b 10.3369
_cell_length_c 4.1357
_cell_angle_alpha 90.00
_cell_angle_beta 90.00
_cell_angle_gamma 90.00
loop_
_atom_site_label
_atom_site_type_symbol
_atom_site_fract_x
_atom_site_fract_y
_atom_site_fract_z
Cr1 Cr 0.0000 0.0000 0.0000
Cu1 Cu 0.0000 0.3836 0.5000
Pd1 Pd 0.0000 0.2496 0.0000
Pd2 Pd 0.1706 0.5000 0.0000
Pd3 Pd 0.1733 0.1332 0.5000
```

## Properties
- Volume: 15.33 Å³/atom
- Formation enthalpy at 0 K: 0.06 eV per atom
- Energy above the most stable polymorph in this dataset: 0.00 kJ/mol of atoms
- Size of the total moment: 6.6 μB per cell
- DOS at the Fermi energy: 17.0 states/eV/f.u.

---

(8)
A relaxed Cr2CuPd7 crystal. Source: the Alexandria database, functional PBE.

Cell and atoms, written as CIF:
```
data_Cr2CuPd7
_symmetry_space_group_name_H-M 'C m m m'
_symmetry_Int_Tables_number 65
_symmetry_space_group_name_Hall '-C 2 2'
_cell_length_a 8.2500
_cell_length_b 14.9946
_cell_length_c 2.7480
_cell_angle_alpha 90.00
_cell_angle_beta 90.00
_cell_angle_gamma 90.00
loop_
_atom_site_label
_atom_site_type_symbol
_atom_site_fract_x
_atom_site_fract_y
_atom_site_fract_z
Cr1 Cr 0.0000 0.1696 0.0000
Cu1 Cu 0.0000 0.5000 0.5000
Pd1 Pd 0.0000 0.0000 0.0000
Pd2 Pd 0.0000 0.3090 0.5000
Pd3 Pd 0.2250 0.4050 0.0000
```

## Properties
- Volume: 17.00 Å³/atom
- Formation enthalpy at 0 K: 0.34 eV per atom
- Size of the total moment: 12.7 μB per cell
- DOS at the Fermi energy: 12.0 states/eV/f.u.